Density functional theory data (GGA-PBEsol) for a relaxed Na2W2O7 crystal.

Geometry as CIF:
```
data_Na2W2O7
_chemical_formula_sum 'Na8 W8 O28'
_cell_length_a 3.815
_cell_length_b 26.796
_cell_length_c 5.448
_cell_angle_alpha 90.00
_cell_angle_beta 90.00
_cell_angle_gamma 90.00
_space_group_name_H-M_alt 'C m c 21'
_space_group_IT_number 36
_space_group_name_Hall 'C 2c -2'
loop_
_atom_site_label
_atom_site_type_symbol
_atom_site_fract_x
_atom_site_fract_y
_atom_site_fract_z
Na1 Na 0.000 0.052 0.000
Na2 Na 0.000 0.216 0.463
W1 W 0.000 0.341 0.485
W2 W 0.000 0.446 0.998
O1 O 0.000 0.047 0.505
O2 O 0.000 0.147 0.000
O3 O 0.000 0.291 0.698
O4 O 0.000 0.306 0.211
O5 O 0.000 0.394 0.790
O6 O 0.000 0.409 0.289
O7 O 0.000 0.492 0.721
```

The relative energy among the computed polymorphs is 0.0 meV/atom. The raw total energy is -8.240 eV per atom. The uncorrected formation energy comes out at -2265 kJ/mol of formula units.

Density functional theory data (GGA-PBEsol) for a relaxed Dy2Co2I crystal.

Geometry as CIF:
```
data_Dy2Co2I
_chemical_formula_sum 'Dy4 Co4 I2'
_cell_length_a 3.8673
_cell_length_b 3.8673
_cell_length_c 16.5946
_cell_angle_alpha 90.00
_cell_angle_beta 90.00
_cell_angle_gamma 120.00
_space_group_name_H-M_alt 'P 63/m m c'
_space_group_IT_number 194
_space_group_name_Hall '-P 6c 2c'
loop_
_atom_site_label
_atom_site_type_symbol
_atom_site_fract_x
_atom_site_fract_y
_atom_site_fract_z
Dy1 Dy 0.0000 0.0000 0.1047
Co1 Co 0.3333 0.6667 0.0014
I1 I 0.3333 0.6667 0.7500
```

The raw total energy is -6.067 eV per atom. The uncorrected formation energy comes out at -303 kJ/mol of formula units.